1.
This record from the Alexandria database describes a geometry-optimized K2Pa2O5F2 structure. The functional is PBE-GGA.

Output
Total moment   0.000 μB/atom
Raw formation energy   -36.135 eV/f.u.
Fermi-level density of states   0.000 states/eV/atom

Cell: 11.895 11.895 11.895 Å, 159.25 159.25 29.50°
Positions (direct):
K: 0.189 0.189 0.000
K: 0.811 0.811 0.000
Pa: 0.408 0.408 0.000
Pa: 0.592 0.592 0.000
O: 0.106 0.606 0.500
O: 0.394 0.894 0.500
O: 0.500 0.500 0.000
O: 0.606 0.106 0.500
O: 0.894 0.394 0.500
F: 0.304 0.304 0.000
F: 0.696 0.696 0.000


2.
This record from the Alexandria database describes a geometry-optimized Ba5As2 structure. The functional is PBE-GGA.

Output
Formation energy from the elements   -0.7254 eV/atom
Total moment   0.264 μB/atom
Fermi-level density of states   0.710 states/eV/atom

Cell: 9.945 9.945 8.785 Å, 96.72 96.72 45.31°
Positions (direct):
Ba: 0.080 0.920 0.750
Ba: 0.137 0.296 0.320
Ba: 0.296 0.137 0.820
Ba: 0.311 0.509 0.081
Ba: 0.491 0.689 0.419
Ba: 0.509 0.311 0.581
Ba: 0.689 0.491 0.919
Ba: 0.704 0.863 0.180
Ba: 0.863 0.704 0.680
Ba: 0.920 0.080 0.250
As: 0.089 0.696 0.414
As: 0.304 0.911 0.086
As: 0.696 0.089 0.914
As: 0.911 0.304 0.586


3.
This record from the Alexandria database describes a geometry-optimized KGaSn structure. The functional is PBE-GGA.

Output
Formation energy from the elements   0.0133 eV/atom
Total moment   0.000 μB/atom
Fermi-level density of states   0.800 states/eV/atom

Cell: 9.341 9.341 9.341 Å, 93.88 93.88 149.86°
Positions (direct):
K: 0.000 0.203 0.203
K: 0.000 0.797 0.797
K: 0.203 0.000 0.203
K: 0.797 0.000 0.797
Ga: 0.282 0.282 0.563
Ga: 0.282 0.718 0.000
Ga: 0.718 0.282 0.000
Ga: 0.718 0.718 0.437
Sn: 0.117 0.500 0.617
Sn: 0.500 0.117 0.617
Sn: 0.500 0.883 0.383
Sn: 0.883 0.500 0.383


4.
This record from the Alexandria database describes a geometry-optimized SiSb2Mo structure. The functional is PBE-GGA.

Output
Total moment   0.000 μB/atom
Raw formation energy   0.021 eV/f.u.
Fermi-level density of states   0.687 states/eV/atom

Cell: 3.279 3.279 8.119 Å, 90.00 90.00 90.00°
Positions (direct):
Si: 0.000 0.000 0.000
Sb: 0.000 0.000 0.360
Sb: 0.500 0.500 0.770
Mo: 0.500 0.500 0.128


no.,volume (Å³ per atom)
1,19.2
2,43.8
3,32.9
4,21.8